The following is a PBE calculation of crystalline Cu7Ag3 at its relaxed geometry, from OQMD.

Geometry as CIF:
```
data_Cu7Ag3
_chemical_formula_sum 'Cu7 Ag3'
_cell_length_a 4.6114
_cell_length_b 2.7405
_cell_length_c 10.9022
_cell_angle_alpha 90.00
_cell_angle_beta 95.95
_cell_angle_gamma 90.00
_space_group_name_H-M_alt 'P 1'
_space_group_IT_number 1
_space_group_name_Hall 'P 1'
loop_
_atom_site_label
_atom_site_type_symbol
_atom_site_fract_x
_atom_site_fract_y
_atom_site_fract_z
Ag1 Ag 0.5000 0.0000 0.0000
Ag2 Ag 0.7909 0.5000 0.3959
Ag3 Ag 0.2091 0.5000 0.6041
Cu1 Cu 0.0000 0.5000 0.0000
Cu2 Cu 0.9105 0.0000 0.1924
Cu3 Cu 0.3856 0.5000 0.2017
Cu4 Cu 0.2935 0.0000 0.3912
Cu5 Cu 0.7065 0.0000 0.6088
Cu6 Cu 0.6144 0.5000 0.7983
Cu7 Cu 0.0895 0.0000 0.8076
```

Calculated values
Its formation energy is 92 meV/atom. For the energy above the most stable polymorph in this dataset, the calculation gives 0.0474 eV/atom. As for the symmetry: P2/m (10).